No. 1
HIrRh2 PBE-GGA optimized geometry; space-group type = No. 225; offset from the most stable computed form = 0.6360 eV per atom; crystal system = cubic
1.0
0.000 2.956 2.956
2.956 0.000 2.956
2.956 2.956 0.000
H Ir Rh
1 1 2
direct
0.000 0.000 0.000
0.500 0.500 0.500
0.250 0.250 0.250
0.750 0.750 0.750


No. 2
HIr3Rh PBE-GGA optimized geometry; space-group type = No. 221; offset from the most stable computed form = 0.0000 eV per atom; crystal system = cubic
1.0
3.928 0.000 0.000
0.000 3.928 0.000
0.000 0.000 3.928
H Ir Rh
1 3 1
direct
0.000 0.000 0.000
0.000 0.000 0.500
0.000 0.500 0.000
0.500 0.000 0.000
0.500 0.500 0.500